No. 1
A geometry-optimized TcCl structure, computed with PBE.

Values from the calculation:
- crystal system = orthorhombic
- magnetization (μB/atom) = 0.000
- formation energy from raw total energies (eV/atom) = 0.38
- raw total energy (eV/atom) = -5.731

Unit cell a=9.2903 b=4.6223 c=5.2364 alpha=90.00 beta=90.00 gamma=90.00
With the nearest neighbours (Å) after each atom.
Sites, in units of the cell vectors:
1 Tc 0.0000 0.2389 0.0000  2 Tc 2.33, 3 Cl 2.33-2.57
2 Tc 0.2117 0.4431 0.8438  1 Tc 2.33, 2 Cl 2.40-2.51
3 Tc 0.2883 0.5569 0.3438  1 Tc 2.33, 2 Cl 2.40-2.51
4 Tc 0.5000 0.7611 0.5000  2 Tc 2.33, 3 Cl 2.33-2.57
5 Tc 0.7117 0.5569 0.3438  1 Tc 2.33, 2 Cl 2.40-2.51
6 Tc 0.7883 0.4431 0.8438  1 Tc 2.33, 2 Cl 2.40-2.51
7 Cl 0.0000 0.7803 0.8150  3 Tc 2.33-2.51
8 Cl 0.1634 0.0111 0.3420  2 Tc 2.40-2.57
9 Cl 0.3366 0.9889 0.8420  2 Tc 2.40-2.57
10 Cl 0.5000 0.2197 0.3150  3 Tc 2.33-2.51
11 Cl 0.6634 0.9889 0.8420  2 Tc 2.40-2.57
12 Cl 0.8366 0.0111 0.3420  2 Tc 2.40-2.57



No. 2
A geometry-optimized HoP2Ir2 structure, computed with PBE.

Values from the calculation:
- crystal system = tetragonal
- formation energy from the elements (meV/atom) = -969
- magnetization (μB/atom) = 0.000
- raw total energy (eV/atom) = -7.593

Unit cell a=4.1222 b=4.1222 c=9.5368 alpha=90.00 beta=90.00 gamma=90.00
With the nearest neighbours (Å) after each atom.
Sites, in units of the cell vectors:
1 Ho 0.2500 0.2500 0.2423  8 P 3.10-3.12, 9 Ir 3.16-3.41
2 Ho 0.7500 0.7500 0.7577  8 P 3.10-3.12, 9 Ir 3.16-3.41
3 P 0.2500 0.2500 0.6411  5 Ir 2.32-2.46
4 P 0.2500 0.7500 0.0000  4 Ir 2.34
5 P 0.7500 0.2500 0.0000  4 Ir 2.34
6 P 0.7500 0.7500 0.3589  5 Ir 2.32-2.46
7 Ir 0.2500 0.2500 0.8845  5 P 2.32-2.34
8 Ir 0.2500 0.7500 0.5000  4 P 2.46
9 Ir 0.7500 0.2500 0.5000  4 P 2.46
10 Ir 0.7500 0.7500 0.1155  5 P 2.32-2.34



No. 3
A geometry-optimized TlGa structure, computed with PBE.

Values from the calculation:
- crystal system = cubic
- formation energy from the elements (meV/atom) = 411
- magnetization (μB/atom) = 0.000
- raw total energy (eV/atom) = -2.286

Unit cell a=6.4507 b=6.4507 c=6.4507 alpha=90.00 beta=90.00 gamma=90.00
With the nearest neighbours (Å) after each atom.
Sites, in units of the cell vectors:
1 Tl 0.0000 0.0000 0.0000  4 Ga 2.79
2 Tl 0.0000 0.5000 0.5000  4 Ga 2.79
3 Tl 0.5000 0.0000 0.5000  4 Ga 2.79
4 Tl 0.5000 0.5000 0.0000  4 Ga 2.79
5 Ga 0.2500 0.2500 0.2500  4 Tl 2.79
6 Ga 0.2500 0.7500 0.7500  4 Tl 2.79
7 Ga 0.7500 0.2500 0.7500  4 Tl 2.79
8 Ga 0.7500 0.7500 0.2500  4 Tl 2.79



No. 4
A geometry-optimized Pr6SmEr8 structure, computed with PBE.

Values from the calculation:
- crystal system = trigonal
- formation energy from the elements (meV/atom) = 124
- magnetization (μB/atom) = 0.000
- raw total energy (eV/atom) = -4.536

Unit cell a=8.7515 b=8.7515 c=8.7515 alpha=62.66 beta=62.66 gamma=62.66
With the nearest neighbours (Å) after each atom.
Sites, in units of the cell vectors:
1 Pr 0.0372 0.6012 0.7276  4 Er 3.38-3.69, 1 Sm 3.47, 2 Pr 3.54
2 Pr 0.2724 0.9628 0.3988  4 Er 3.38-3.69, 1 Sm 3.47, 2 Pr 3.54
3 Pr 0.3988 0.2724 0.9628  4 Er 3.38-3.69, 1 Sm 3.47, 2 Pr 3.54
4 Pr 0.6012 0.7276 0.0372  4 Er 3.38-3.69, 1 Sm 3.47, 2 Pr 3.54
5 Pr 0.7276 0.0372 0.6012  4 Er 3.38-3.69, 1 Sm 3.47, 2 Pr 3.54
6 Pr 0.9628 0.3988 0.2724  4 Er 3.38-3.69, 1 Sm 3.47, 2 Pr 3.54
7 Sm 0.5000 0.5000 0.5000  6 Pr 3.47, 6 Er 3.57
8 Er 0.0764 0.0764 0.0764  4 Er 3.21-3.43, 3 Pr 3.49
9 Er 0.2135 0.6125 0.2516  3 Pr 3.38-3.69, 5 Er 3.43-3.47, 1 Sm 3.57
10 Er 0.2516 0.2135 0.6125  3 Pr 3.38-3.69, 5 Er 3.43-3.47, 1 Sm 3.57
11 Er 0.3875 0.7484 0.7865  3 Pr 3.38-3.69, 5 Er 3.43-3.47, 1 Sm 3.57
12 Er 0.6125 0.2516 0.2135  3 Pr 3.38-3.69, 5 Er 3.43-3.47, 1 Sm 3.57
13 Er 0.7484 0.7865 0.3875  3 Pr 3.38-3.69, 5 Er 3.43-3.47, 1 Sm 3.57
14 Er 0.7865 0.3875 0.7484  3 Pr 3.38-3.69, 5 Er 3.43-3.47, 1 Sm 3.57
15 Er 0.9236 0.9236 0.9236  4 Er 3.21-3.43, 3 Pr 3.49



No. 5
A geometry-optimized InPtN2 structure, computed with PBE.

Values from the calculation:
- crystal system = trigonal
- magnetization (μB/atom) = 0.000
- formation energy from raw total energies (eV/atom) = 0.66
- raw total energy (eV/atom) = -5.695

Unit cell a=3.2082 b=3.2082 c=19.0312 alpha=90.00 beta=90.00 gamma=120.00
With the nearest neighbours (Å) after each atom.
Sites, in units of the cell vectors:
1 In 0.0000 0.0000 0.0000  2 N 2.20
2 In 0.3333 0.6667 0.6667  2 N 2.20
3 In 0.6667 0.3333 0.3333  2 N 2.20
4 Pt 0.0000 0.0000 0.5000  6 N 2.09
5 Pt 0.3333 0.6667 0.1667  6 N 2.09
6 Pt 0.6667 0.3333 0.8333  6 N 2.09
7 N 0.0000 0.0000 0.1156  3 Pt 2.09, 1 In 2.20
8 N 0.0000 0.0000 0.8844  3 Pt 2.09, 1 In 2.20
9 N 0.3333 0.6667 0.5510  3 Pt 2.09, 1 In 2.20
10 N 0.3333 0.6667 0.7823  3 Pt 2.09, 1 In 2.20
11 N 0.6667 0.3333 0.2177  3 Pt 2.09, 1 In 2.20
12 N 0.6667 0.3333 0.4490  3 Pt 2.09, 1 In 2.20



No. 6
A geometry-optimized GdPaAs structure, computed with PBE.

Values from the calculation:
- crystal system = trigonal
- formation energy from the elements (meV/atom) = -487
- magnetization (μB/atom) = 2.855
- raw total energy (eV/atom) = -9.895

Unit cell a=3.8111 b=3.8111 c=6.5980 alpha=90.00 beta=90.00 gamma=120.00
With the nearest neighbours (Å) after each atom.
Sites, in units of the cell vectors:
1 Gd 0.0000 0.0000 0.0000  3 As 2.88
2 Pa 0.3333 0.6667 0.5588  3 As 2.86
3 As 0.6667 0.3333 0.2812  3 Pa 2.86, 3 Gd 2.88